# LiMgCdIn3

A relaxed LiMgCdIn3 crystal (PBE, Alexandria via LeMat-Bulk).

It has space group P2_1/m (No. 11), with a = 9.035 Å, b = 3.436 Å, c = 9.315 Å, α = 90.00°, β = 106.17° and γ = 90.00°. The distinct sites, in fractional coordinates, are Li at (0.124, 0.250, 0.285), Mg at (0.376, 0.750, 0.866), Cd at (0.109, 0.250, 0.618), In at (0.118, 0.250, 0.946), In at (0.355, 0.750, 0.526) and In at (0.367, 0.750, 0.200).

The crystal system is monoclinic. The total moment comes out at 0.00 μB per formula unit. The value obtained for the total energy is -2.21 eV per atom.


# Er5Pb4O

A relaxed Er5Pb4O crystal (PBE, Alexandria via LeMat-Bulk).

It has space group I4 (No. 79), with a = 9.318 Å, b = 9.318 Å, c = 6.194 Å, α = 90.00°, β = 90.00° and γ = 90.00°. The distinct sites, in fractional coordinates, are Er at (0.000, 0.000, 0.000), Er at (0.110, 0.763, 0.566), Pb at (0.067, 0.674, 0.072) and O at (0.000, 0.000, 0.636).

The crystal system is tetragonal. The total moment comes out at 0.00 μB per formula unit. As for the formation energy (no corrections): -763 meV per atom.


# ZrCoP3

A relaxed ZrCoP3 crystal (PBE, Alexandria via LeMat-Bulk).

It has space group Pm-3m (No. 221), with a = 4.368 Å, b = 4.368 Å, c = 4.368 Å, α = 90.00°, β = 90.00° and γ = 90.00°. The distinct sites, in fractional coordinates, are Zr at (0.000, 0.000, 0.000), Co at (0.500, 0.500, 0.500) and P at (0.000, 0.500, 0.500).

The crystal system is cubic. The total moment comes out at 0.00 μB per formula unit. The value obtained for the total energy is -6.24 eV per atom.